(1)
Computed, not measured: crystalline ZnBi2Sb2 at its relaxed geometry at the GGA-PBE level of DFT.

Output
formation energy (no corrections): 237.6 meV/atom
energy above the lowest structure with this stoichiometry: 0.00 kcal/mol of atoms
total DFT energy (no corrections): -3.219 eV/atom
spin magnetization: 0.00 μB per formula unit

abc: 8.3649 8.3649 4.2441
angles: 90.00 90.00 90.00
Last column: nearest neighbours and their distance in Å.
Positions (direct):
Zn (0.0000, 0.0000, 0.0000)  4 Sb 3.14
Zn (0.5000, 0.5000, 0.0000)  4 Sb 3.14
Bi (0.1475, 0.3525, 0.5000)  6 Sb 3.11-3.34
Bi (0.3525, 0.8525, 0.5000)  6 Sb 3.11-3.34
Bi (0.6475, 0.1475, 0.5000)  6 Sb 3.11-3.34
Bi (0.8525, 0.6475, 0.5000)  6 Sb 3.11-3.34
Sb (0.1604, 0.6604, 0.0000)  6 Bi 3.11-3.34, 2 Zn 3.14
Sb (0.3396, 0.1604, 0.0000)  6 Bi 3.11-3.34, 2 Zn 3.14
Sb (0.6604, 0.8396, 0.0000)  6 Bi 3.11-3.34, 2 Zn 3.14
Sb (0.8396, 0.3396, 0.0000)  6 Bi 3.11-3.34, 2 Zn 3.14


(2)
Computed, not measured: crystalline Gd2RuF at its relaxed geometry at the GGA-PBE level of DFT.

Output
formation energy (no corrections): -1246.0 meV/atom
energy above the lowest structure with this stoichiometry: 0.97 kcal/mol of atoms
total DFT energy (no corrections): -11.073 eV/atom
spin magnetization: 14.42 μB per formula unit

abc: 3.2876 3.2876 7.4411
angles: 90.00 90.00 90.00
Last column: nearest neighbours and their distance in Å.
Positions (direct):
Gd (0.0000, 0.0000, 0.2340)  4 Ru 2.90, 4 F 3.05
Gd (0.0000, 0.0000, 0.7660)  4 Ru 2.90, 4 F 3.05
Ru (0.5000, 0.5000, 0.0000)  8 Gd 2.90
F (0.5000, 0.5000, 0.5000)  8 Gd 3.05, 4 F 3.29


(3)
Computed, not measured: crystalline TbSiRh2 at its relaxed geometry at the GGA-PBE level of DFT.

Output
formation energy (no corrections): -943.9 meV/atom
total DFT energy (no corrections): -7.133 eV/atom
spin magnetization: 0.00 μB per formula unit

abc: 8.9768 8.9768 4.0255
angles: 90.00 90.00 153.68
Last column: nearest neighbours and their distance in Å.
Positions (direct):
Tb (0.1461, 0.8539, 0.0000)  10 Rh 3.06-3.27, 4 Si 3.11
Tb (0.8539, 0.1461, 0.0000)  10 Rh 3.06-3.27, 4 Si 3.11
Si (0.4233, 0.5767, 0.5000)  5 Rh 2.29-2.44
Si (0.5767, 0.4233, 0.5000)  5 Rh 2.29-2.44
Rh (0.0000, 0.0000, 0.5000)  4 Si 2.44
Rh (0.2925, 0.7075, 0.5000)  1 Si 2.29, 2 Rh 2.53
Rh (0.5000, 0.5000, 0.0000)  4 Si 2.42
Rh (0.7075, 0.2925, 0.5000)  1 Si 2.29, 2 Rh 2.53


(4)
Computed, not measured: crystalline TlCr2Pt at its relaxed geometry at the GGA-PBE level of DFT.

Output
ΔE_f: 407 meV per atom
energy above the lowest structure with this stoichiometry: 3.78 kcal/mol of atoms
total DFT energy (no corrections): -6.507 eV/atom
spin magnetization: 0.00 μB per formula unit

abc: 2.8483 4.2336 5.5346
angles: 90.00 90.00 90.00
Last column: nearest neighbours and their distance in Å.
Positions (direct):
Tl (0.0000, 0.0000, 0.0000)  2 Pt 2.77, 2 Tl 2.85
Cr (0.5000, 0.5000, 0.3259)  1 Cr 1.93
Cr (0.5000, 0.5000, 0.6741)  1 Cr 1.93
Pt (0.0000, 0.0000, 0.5000)  8 Cr 2.73, 2 Tl 2.77, 2 Pt 2.85


(5)
Computed, not measured: crystalline Ba2PbCl6 at its relaxed geometry at the GGA-PBE level of DFT.

Output
formation energy (no corrections): -2037.8 meV/atom
total DFT energy (no corrections): -4.108 eV/atom
spin magnetization: 0.00 μB per formula unit

abc: 7.5877 7.8068 12.2381
angles: 90.00 117.63 90.00
Last column: nearest neighbours and their distance in Å.
Positions (direct):
Ba (0.1787, 0.0930, 0.2259)  7 Cl 3.10-3.39
Ba (0.1787, 0.4070, 0.7259)  7 Cl 3.10-3.39
Ba (0.8213, 0.5930, 0.2741)  7 Cl 3.10-3.39
Ba (0.8213, 0.9070, 0.7741)  7 Cl 3.10-3.39
Pb (0.5000, 0.0000, 0.0000)  6 Cl 2.86-2.95
Pb (0.5000, 0.5000, 0.5000)  6 Cl 2.86-2.95
Cl (0.1345, 0.1842, 0.9435)  1 Pb 2.91, 1 Ba 3.17
Cl (0.1345, 0.3158, 0.4435)  1 Pb 2.91, 1 Ba 3.17
Cl (0.2240, 0.7081, 0.9029)  1 Pb 2.95, 2 Ba 3.11-3.12
Cl (0.2240, 0.7919, 0.4029)  1 Pb 2.95, 2 Ba 3.11-3.12
Cl (0.4431, 0.0885, 0.7589)  1 Pb 2.86, 2 Ba 3.10-3.13
Cl (0.4431, 0.4115, 0.2589)  1 Pb 2.86, 2 Ba 3.10-3.13
Cl (0.5569, 0.5885, 0.7411)  1 Pb 2.86, 2 Ba 3.10-3.13
Cl (0.5569, 0.9115, 0.2411)  1 Pb 2.86, 2 Ba 3.10-3.13
Cl (0.7760, 0.2081, 0.5971)  1 Pb 2.95, 2 Ba 3.11-3.12
Cl (0.7760, 0.2919, 0.0971)  1 Pb 2.95, 2 Ba 3.11-3.12
Cl (0.8655, 0.6842, 0.5565)  1 Pb 2.91, 1 Ba 3.17
Cl (0.8655, 0.8158, 0.0565)  1 Pb 2.91, 1 Ba 3.17


(6)
Computed, not measured: crystalline LaAlNO2 at its relaxed geometry at the GGA-PBE level of DFT.

Output
formation energy (no corrections): -269.4 meV/atom
total DFT energy (no corrections): -5.652 eV/atom
spin magnetization: 0.00 μB per formula unit

abc: 4.4210 4.4210 4.5347
angles: 90.00 90.00 90.00
Last column: nearest neighbours and their distance in Å.
Positions (direct):
La (0.0000, 0.0000, 0.0000)  4 O 2.21, 2 N 2.27
Al (0.5000, 0.5000, 0.5000)  4 N 3.13, 8 O 3.17
N (0.0000, 0.0000, 0.5000)  2 La 2.27
O (0.0000, 0.5000, 0.0000)  2 La 2.21
O (0.5000, 0.0000, 0.0000)  2 La 2.21


(7)
Computed, not measured: crystalline Y5Hg2Pd12 at its relaxed geometry at the GGA-PBE level of DFT.

Output
ΔE_f: -492 meV per atom
total DFT energy (no corrections): -5.504 eV/atom
spin magnetization: 0.00 μB per formula unit

abc: 8.8596 8.8596 9.7247
angles: 114.97 114.97 36.79
Last column: nearest neighbours and their distance in Å.
Positions (direct):
Y (0.0000, 0.0000, 0.0000)  6 Pd 2.77-3.10
Y (0.3166, 0.3166, 0.1237)  9 Pd 2.81-3.00
Y (0.3443, 0.3443, 0.6277)  7 Pd 2.75-2.99
Y (0.6557, 0.6557, 0.3723)  7 Pd 2.75-2.99
Y (0.6834, 0.6834, 0.8763)  9 Pd 2.81-3.00
Hg (0.2495, 0.7505, 0.5000)  2 Hg 2.79-2.80, 2 Pd 2.80
Hg (0.7505, 0.2495, 0.5000)  2 Hg 2.79-2.80, 2 Pd 2.80
Pd (0.0525, 0.5757, 0.3690)  4 Pd 2.67-2.94, 2 Y 2.76-2.81, 1 Hg 2.80
Pd (0.0919, 0.5910, 0.8905)  5 Pd 2.71-2.94, 4 Y 2.77-2.95
Pd (0.1116, 0.1116, 0.8180)  4 Pd 2.94, 3 Y 3.00-3.10, 2 Hg 3.14
Pd (0.4090, 0.9081, 0.1095)  5 Pd 2.71-2.94, 4 Y 2.77-2.95
Pd (0.4243, 0.9475, 0.6310)  4 Pd 2.67-2.94, 2 Y 2.76-2.81, 1 Hg 2.80
Pd (0.4889, 0.4889, 0.1291)  3 Pd 2.70-2.89, 2 Y 2.75-2.87
Pd (0.5111, 0.5111, 0.8709)  3 Pd 2.70-2.89, 2 Y 2.75-2.87
Pd (0.5757, 0.0525, 0.3690)  4 Pd 2.67-2.94, 2 Y 2.76-2.81, 1 Hg 2.80
Pd (0.5910, 0.0919, 0.8905)  5 Pd 2.71-2.94, 4 Y 2.77-2.95
Pd (0.8884, 0.8884, 0.1820)  4 Pd 2.94, 3 Y 3.00-3.10, 2 Hg 3.14
Pd (0.9081, 0.4090, 0.1095)  5 Pd 2.71-2.94, 4 Y 2.77-2.95
Pd (0.9475, 0.4243, 0.6310)  4 Pd 2.67-2.94, 2 Y 2.76-2.81, 1 Hg 2.80